VASP calculation (PBE-GGA) on CdFeReGe after structural relaxation.

relative energy among the computed polymorphs = 0.000 eV/f.u.
SG = F-43m (216)

POSCAR file:
```
CdFeReGe
1.0
6.238 0.000 0.000
0.000 6.238 0.000
0.000 0.000 6.238
Cd Fe Re Ge
4 4 4 4
Direct
0.000 0.000 0.000 Cd
0.000 0.500 0.500 Cd
0.500 0.000 0.500 Cd
0.500 0.500 0.000 Cd
0.250 0.250 0.750 Fe
0.250 0.750 0.250 Fe
0.750 0.250 0.250 Fe
0.750 0.750 0.750 Fe
0.250 0.250 0.250 Re
0.250 0.750 0.750 Re
0.750 0.250 0.750 Re
0.750 0.750 0.250 Re
0.000 0.000 0.500 Ge
0.000 0.500 0.000 Ge
0.500 0.000 0.000 Ge
0.500 0.500 0.500 Ge
```